(1)
First-principles (PBE-GGA) data for a geometry-optimized KHCO2 structure, as listed in Alexandria via LeMat-Bulk.

Computed properties:
M_tot: 0.00 μB per formula unit
DFT total energy: -6.017 eV/atom

Cell lengths 4.577, 4.577, 7.094 Å; angles 90.00, 90.00, 98.96 degrees
Element x y z (fractional)
C (0.398, 0.602, 0.250)
C (0.602, 0.398, 0.750)
H (0.558, 0.442, 0.250)
H (0.442, 0.558, 0.750)
K (0.000, 0.000, 0.000)
K (0.000, 0.000, 0.500)
O (0.124, 0.495, 0.250)
O (0.876, 0.505, 0.750)
O (0.505, 0.876, 0.250)
O (0.495, 0.124, 0.750)


(2)
First-principles (PBE-GGA) data for a geometry-optimized KHCO3 structure, as listed in Alexandria via LeMat-Bulk.

Computed properties:
M_tot: 0.00 μB per formula unit
DFT total energy: -6.302 eV/atom

Cell lengths 5.725, 3.789, 15.250 Å; angles 77.64, 90.00, 90.00 degrees
Element x y z (fractional)
K (0.527, 0.958, 0.665)
K (0.027, 0.042, 0.835)
K (0.473, 0.042, 0.335)
K (0.973, 0.958, 0.165)
H (0.188, 0.514, 0.514)
H (0.688, 0.486, 0.986)
H (0.812, 0.486, 0.486)
H (0.312, 0.514, 0.014)
C (0.016, 0.606, 0.620)
C (0.516, 0.394, 0.880)
C (0.984, 0.394, 0.380)
C (0.484, 0.606, 0.120)
O (0.034, 0.698, 0.694)
O (0.534, 0.302, 0.806)
O (0.966, 0.302, 0.306)
O (0.466, 0.698, 0.194)
O (0.823, 0.551, 0.582)
O (0.323, 0.449, 0.918)
O (0.177, 0.449, 0.418)
O (0.677, 0.551, 0.082)
O (0.220, 0.564, 0.577)
O (0.720, 0.436, 0.923)
O (0.780, 0.436, 0.423)
O (0.280, 0.564, 0.077)


(3)
First-principles (PBE-GGA) data for a geometry-optimized KHCO3 structure, as listed in Alexandria via LeMat-Bulk.

Computed properties:
M_tot: 0.02 μB per formula unit
DFT total energy: -6.000 eV/atom

Cell lengths 5.590, 5.590, 11.140 Å; angles 76.21, 76.21, 73.13 degrees
Element x y z (fractional)
K (0.019, 0.704, 0.133)
K (0.296, 0.981, 0.367)
K (0.981, 0.296, 0.867)
K (0.704, 0.019, 0.633)
H (0.624, 0.419, 0.352)
H (0.581, 0.376, 0.148)
H (0.376, 0.581, 0.648)
H (0.419, 0.624, 0.852)
C (0.911, 0.541, 0.450)
C (0.459, 0.089, 0.050)
C (0.089, 0.459, 0.550)
C (0.541, 0.911, 0.950)
O (0.460, 0.453, 0.317)
O (0.547, 0.540, 0.183)
O (0.540, 0.547, 0.683)
O (0.453, 0.460, 0.817)
O (0.863, 0.359, 0.416)
O (0.641, 0.137, 0.084)
O (0.137, 0.641, 0.584)
O (0.359, 0.863, 0.916)
O (0.829, 0.774, 0.409)
O (0.226, 0.171, 0.091)
O (0.171, 0.226, 0.591)
O (0.774, 0.829, 0.909)


(4)
First-principles (PBE-GGA) data for a geometry-optimized KTbH2C2SO9 structure, as listed in Alexandria via LeMat-Bulk.

Computed properties:
M_tot: 0.00 μB per formula unit
DFT total energy: -6.735 eV/atom

Cell lengths 6.623, 8.641, 13.697 Å; angles 90.00, 93.87, 90.00 degrees
Element x y z (fractional)
K (0.731, 0.647, 0.697)
K (0.769, 0.147, 0.803)
K (0.269, 0.353, 0.303)
K (0.231, 0.853, 0.197)
Tb (0.253, 0.257, 0.587)
Tb (0.247, 0.757, 0.913)
Tb (0.747, 0.743, 0.413)
Tb (0.753, 0.243, 0.087)
H (0.146, 0.040, 0.416)
H (0.354, 0.540, 0.084)
H (0.854, 0.960, 0.584)
H (0.646, 0.460, 0.916)
H (0.383, 0.045, 0.420)
H (0.117, 0.545, 0.080)
H (0.617, 0.955, 0.580)
H (0.883, 0.455, 0.920)
C (0.365, 0.460, 0.781)
C (0.135, 0.960, 0.719)
C (0.635, 0.540, 0.219)
C (0.865, 0.040, 0.281)
C (0.367, 0.965, 0.730)
C (0.133, 0.465, 0.770)
C (0.633, 0.035, 0.270)
C (0.867, 0.535, 0.230)
S (0.734, 0.339, 0.477)
S (0.766, 0.839, 0.023)
S (0.266, 0.661, 0.523)
S (0.234, 0.161, 0.977)
O (0.455, 0.370, 0.726)
O (0.045, 0.870, 0.774)
O (0.545, 0.630, 0.274)
O (0.955, 0.130, 0.226)
O (0.051, 0.049, 0.654)
O (0.449, 0.549, 0.846)
O (0.949, 0.951, 0.346)
O (0.551, 0.451, 0.154)
O (0.454, 0.050, 0.670)
O (0.046, 0.550, 0.830)
O (0.546, 0.950, 0.330)
O (0.954, 0.450, 0.170)
O (0.046, 0.388, 0.701)
O (0.454, 0.888, 0.799)
O (0.954, 0.612, 0.299)
O (0.546, 0.112, 0.201)
O (0.936, 0.268, 0.500)
O (0.564, 0.768, 0.000)
O (0.064, 0.732, 0.500)
O (0.436, 0.232, 0.000)
O (0.746, 0.510, 0.497)
O (0.754, 0.010, 0.003)
O (0.254, 0.490, 0.503)
O (0.246, 0.990, 0.997)
O (0.589, 0.269, 0.543)
O (0.911, 0.769, 0.957)
O (0.411, 0.731, 0.457)
O (0.089, 0.231, 0.043)
O (0.669, 0.313, 0.373)
O (0.831, 0.813, 0.127)
O (0.331, 0.687, 0.627)
O (0.169, 0.187, 0.873)
O (0.265, 0.099, 0.444)
O (0.235, 0.599, 0.056)
O (0.735, 0.901, 0.556)
O (0.765, 0.401, 0.944)


(5)
First-principles (PBE-GGA) data for a geometry-optimized KYH4C4O9 structure, as listed in Alexandria via LeMat-Bulk.

Computed properties:
M_tot: 1.92 μB per formula unit
DFT total energy: -6.606 eV/atom

Cell lengths 6.753, 6.797, 6.860 Å; angles 109.88, 111.54, 100.78 degrees
Site moments in Bohr magnetons follow the coordinates.
Element x y z (fractional)
Y (0.977, 0.994, 0.982)  -0.02
H (0.590, 0.304, 0.291)  0.01
H (0.897, 0.396, 0.740)  0.00
H (0.380, 0.320, 0.750)  0.00
H (0.663, 0.772, 0.299)  0.00
K (0.254, 0.772, 0.508)  0.00
C (0.550, 0.156, 0.130)  0.00
C (0.013, 0.480, 0.931)  0.00
C (0.341, 0.308, 0.574)  -0.01
C (0.747, 0.834, 0.492)  0.00
O (0.343, 0.038, 0.986)  0.01
O (0.721, 0.123, 0.107)  0.10
O (0.085, 0.362, 0.029)  0.01
O (0.069, 0.691, 0.041)  0.05
O (0.189, 0.133, 0.395)  0.03
O (0.454, 0.474, 0.565)  0.27
O (0.688, 0.974, 0.616)  0.00
O (0.901, 0.763, 0.585)  0.00
O (0.671, 0.719, 0.929)  1.14


(6)
First-principles (PBE-GGA) data for a geometry-optimized La4H2CN structure, as listed in Alexandria via LeMat-Bulk.

Computed properties:
M_tot: 0.00 μB per formula unit
DFT total energy: -6.129 eV/atom

Cell lengths 3.735, 6.461, 6.663 Å; angles 108.68, 90.00, 90.00 degrees
Element x y z (fractional)
La (0.500, 0.238, 0.225)
La (0.500, 0.762, 0.775)
La (0.000, 0.253, 0.771)
La (0.000, 0.747, 0.229)
H (0.500, 0.000, 0.500)
H (0.000, 0.500, 0.500)
C (0.500, 0.500, 0.000)
N (0.000, 0.000, 0.000)


(7)
First-principles (PBE-GGA) data for a geometry-optimized La6H3C2N structure, as listed in Alexandria via LeMat-Bulk.

Computed properties:
M_tot: 0.00 μB per formula unit
DFT total energy: -6.061 eV/atom

Cell lengths 6.491, 6.491, 6.700 Å; angles 99.30, 99.30, 120.04 degrees
Element x y z (fractional)
La (0.924, 0.594, 0.773)
La (0.746, 0.746, 0.227)
La (0.076, 0.406, 0.227)
La (0.594, 0.924, 0.773)
La (0.254, 0.254, 0.773)
La (0.406, 0.076, 0.227)
H (0.173, 0.827, 0.500)
H (0.827, 0.173, 0.500)
H (0.500, 0.500, 0.500)
C (0.334, 0.666, 0.000)
C (0.666, 0.334, 0.000)
N (0.000, 0.000, 0.000)


(8)
First-principles (PBE-GGA) data for a geometry-optimized La8HCN4 structure, as listed in Alexandria via LeMat-Bulk.

Computed properties:
M_tot: 0.14 μB per formula unit
DFT total energy: -6.874 eV/atom

Cell lengths 7.561, 7.561, 7.632 Å; angles 60.31, 60.31, 60.00 degrees
Element x y z (fractional)
La (0.244, 0.776, 0.736)
La (0.776, 0.244, 0.736)
La (0.244, 0.244, 0.736)
La (0.239, 0.239, 0.283)
La (0.752, 0.237, 0.259)
La (0.237, 0.752, 0.259)
La (0.752, 0.752, 0.259)
La (0.756, 0.756, 0.732)
H (0.371, 0.371, 0.888)
C (0.003, 0.003, 0.990)
N (0.630, 0.630, 0.111)
N (0.003, 0.490, 0.504)
N (0.490, 0.003, 0.504)
N (0.003, 0.003, 0.504)


(9)
First-principles (PBE-GGA) data for a geometry-optimized LaH4C4NO8 structure, as listed in Alexandria via LeMat-Bulk.

Computed properties:
M_tot: 0.00 μB per formula unit
DFT total energy: -7.106 eV/atom

Cell lengths 5.901, 8.876, 15.977 Å; angles 90.00, 90.00, 91.97 degrees
Element x y z (fractional)
La (0.076, 0.824, 0.400)
La (0.076, 0.324, 0.100)
La (0.924, 0.176, 0.600)
La (0.924, 0.676, 0.900)
H (0.326, 0.180, 0.912)
H (0.448, 0.923, 0.111)
H (0.546, 0.760, 0.642)
H (0.552, 0.077, 0.889)
H (0.632, 0.370, 0.311)
H (0.674, 0.320, 0.412)
H (0.674, 0.820, 0.088)
H (0.632, 0.870, 0.189)
H (0.326, 0.680, 0.588)
H (0.546, 0.260, 0.858)
H (0.454, 0.240, 0.358)
H (0.552, 0.577, 0.611)
H (0.454, 0.740, 0.142)
H (0.368, 0.630, 0.689)
H (0.448, 0.423, 0.389)
H (0.368, 0.130, 0.811)
C (0.905, 0.539, 0.525)
C (0.161, 0.125, 0.272)
C (0.161, 0.625, 0.228)
C (0.095, 0.961, 0.025)
C (0.839, 0.875, 0.728)
C (0.580, 0.455, 0.028)
C (0.420, 0.045, 0.528)
C (0.061, 0.950, 0.763)
C (0.939, 0.550, 0.263)
C (0.420, 0.545, 0.972)
C (0.095, 0.461, 0.475)
C (0.839, 0.375, 0.772)
C (0.061, 0.450, 0.737)
C (0.905, 0.039, 0.975)
C (0.939, 0.050, 0.237)
C (0.580, 0.955, 0.472)
N (0.447, 0.662, 0.633)
N (0.553, 0.838, 0.133)
N (0.553, 0.338, 0.367)
N (0.447, 0.162, 0.867)
O (0.241, 0.072, 0.340)
O (0.501, 0.157, 0.568)
O (0.088, 0.818, 0.025)
O (0.759, 0.928, 0.660)
O (0.855, 0.936, 0.275)
O (0.241, 0.572, 0.160)
O (0.861, 0.108, 0.171)
O (0.787, 0.503, 0.030)
O (0.240, 0.546, 0.438)
O (0.751, 0.266, 0.732)
O (0.145, 0.064, 0.725)
O (0.499, 0.343, 0.068)
O (0.240, 0.046, 0.062)
O (0.912, 0.682, 0.525)
O (0.759, 0.428, 0.840)
O (0.213, 0.497, 0.970)
O (0.501, 0.657, 0.932)
O (0.088, 0.318, 0.475)
O (0.855, 0.436, 0.225)
O (0.139, 0.392, 0.671)
O (0.249, 0.734, 0.268)
O (0.912, 0.182, 0.975)
O (0.760, 0.954, 0.938)
O (0.213, 0.997, 0.530)
O (0.760, 0.454, 0.562)
O (0.145, 0.564, 0.775)
O (0.861, 0.608, 0.329)
O (0.499, 0.843, 0.432)
O (0.787, 0.003, 0.470)
O (0.751, 0.766, 0.768)
O (0.249, 0.234, 0.232)
O (0.139, 0.892, 0.829)


(10)
First-principles (PBE-GGA) data for a geometry-optimized La4HCO2 structure, as listed in Alexandria via LeMat-Bulk.

Computed properties:
M_tot: 0.00 μB per formula unit
DFT total energy: -6.821 eV/atom

Cell lengths 3.779, 6.400, 6.450 Å; angles 71.54, 90.00, 90.00 degrees
Element x y z (fractional)
La (0.000, 0.751, 0.755)
La (0.000, 0.249, 0.245)
La (0.500, 0.767, 0.234)
La (0.500, 0.233, 0.766)
H (0.000, 0.500, 0.500)
C (0.500, 0.500, 0.000)
O (0.000, 0.000, 0.000)
O (0.500, 0.000, 0.500)


(11)
First-principles (PBE-GGA) data for a geometry-optimized La6H3C2O structure, as listed in Alexandria via LeMat-Bulk.

Computed properties:
M_tot: 0.00 μB per formula unit
DFT total energy: -6.022 eV/atom

Cell lengths 6.487, 6.487, 6.627 Å; angles 99.38, 99.38, 120.07 degrees
Element x y z (fractional)
La (0.924, 0.591, 0.771)
La (0.743, 0.743, 0.231)
La (0.076, 0.409, 0.229)
La (0.591, 0.924, 0.771)
La (0.257, 0.257, 0.769)
La (0.409, 0.076, 0.229)
H (0.177, 0.823, 0.500)
H (0.823, 0.177, 0.500)
H (0.500, 0.500, 0.500)
C (0.335, 0.665, 0.000)
C (0.665, 0.335, 0.000)
O (0.000, 0.000, 0.000)


(12)
First-principles (PBE-GGA) data for a geometry-optimized La4H2CO structure, as listed in Alexandria via LeMat-Bulk.

Computed properties:
M_tot: 0.00 μB per formula unit
DFT total energy: -6.047 eV/atom

Cell lengths 3.767, 6.418, 6.549 Å; angles 109.14, 90.00, 90.00 degrees
Element x y z (fractional)
La (0.500, 0.241, 0.227)
La (0.500, 0.759, 0.773)
La (0.000, 0.254, 0.765)
La (0.000, 0.746, 0.235)
H (0.500, 0.000, 0.500)
H (0.000, 0.500, 0.500)
C (0.500, 0.500, 0.000)
O (0.000, 0.000, 0.000)


Question: Which formula does entry 1 have?
Answer: KHCO2